Density functional theory data (PBE+U) for Li2MnFeB2O6 after structural relaxation.

Its density of states at the Fermi level is 0.00 states/eV per cell. Its magnetization is 26.9 μB/cell. For the energy, the calculation gives -256.1 eV/cell.

The structure belongs to space group P-6 (No. 174); the cell edges are 8.2456, 8.2456 and 6.3196 Å and the angles 90.00°, 90.00° and 120.00°. Symmetry generates all atoms from Li at (0.0159, 0.2991, 0.2490), Mn at (0.3726, 0.3610, 0.5000), Fe at (0.3695, 0.3623, 0.0000), B at (0.0000, 0.0000, 0.0000), B at (0.0000, 0.0000, 0.5000), B at (0.3333, 0.6667, 0.2451), B at (0.6667, 0.3333, 0.2467), O at (0.0782, 0.1940, 0.5000), O at (0.0869, 0.1945, 0.0000), O at (0.1391, 0.5784, 0.2464) and O at (0.4725, 0.2528, 0.2476).